VASP calculation (GGA-PBE) on an optimized crystal structure of Se3Br.

a = 3.7675 Å, b = 3.7675 Å, c = 7.9282 Å
α = 90.00°, β = 90.00°, γ = 120.00°
Closest atoms and distances in Å follow each position.
Fractional positions:
Se  0.6667  0.3333  0.7188  3 Se 2.78, 3 Br 3.12
Se  0.0000  0.0000  0.5000  6 Se 2.78
Se  0.6667  0.3333  0.2812  3 Se 2.78, 3 Br 3.12
Br  0.0000  0.0000  0.0000  6 Se 3.12

Calculated total energy   -2.672 eV per atom
M_tot   0.00 μB/f.u.
ΔE_f (raw)   359.5 meV per atom